[1]
Compound: SrCd2Cu2
Source: OQMD
Functional: PBE
Structure: relaxed

a b c (Å): 6.494 6.494 6.494
angles (deg): 140.68 140.68 56.82
Fractional positions:
Sr  0.000  0.000  0.000
Cd  0.250  0.750  0.500
Cd  0.750  0.250  0.500
Cu  0.395  0.395  0.000
Cu  0.605  0.605  0.000

- Theoretical density: 6693 kg/m³
- E: -11.6 eV/cell
- Space-group type: I4/mmm, No. 139

---

[2]
Compound: LaPrBi4
Source: OQMD
Functional: PBE
Structure: relaxed

a b c (Å): 4.668 9.013 9.013
angles (deg): 29.98 90.00 90.00
Fractional positions:
La  0.000  0.000  0.000
Pr  0.500  0.797  0.797
Bi  0.000  0.328  0.328
Bi  0.000  0.649  0.649
Bi  0.500  0.149  0.149
Bi  0.500  0.469  0.469

- Theoretical density: 9778 kg/m³
- E: -30.1 eV/cell
- Total magnetization: 0.002 μB/f.u.
- Space-group type: Amm2, No. 38

---

[3]
Compound: NbGaOs
Source: OQMD
Functional: PBE
Structure: relaxed

a b c (Å): 4.289 4.289 4.289
angles (deg): 60.00 60.00 60.00
Fractional positions:
Nb  0.000  0.000  0.000
Ga  0.500  0.500  0.500
Os  0.750  0.750  0.750

- Theoretical density: 10505 kg/m³
- E: -24.2 eV/cell
- Total magnetization: 0.005 μB/f.u.
- Space-group type: F-43m, No. 216

---

[4]
Compound: Ag15As
Source: OQMD
Functional: PBE
Structure: relaxed

a b c (Å): 8.169 2.900 31.997
angles (deg): 90.00 90.01 90.00
Fractional positions:
Ag  0.121  0.250  0.197
Ag  0.125  0.250  0.385
Ag  0.125  0.250  0.477
Ag  0.125  0.250  0.569
Ag  0.125  0.250  0.662
Ag  0.125  0.250  0.754
Ag  0.126  0.250  0.292
Ag  0.371  0.750  0.803
Ag  0.375  0.750  0.155
Ag  0.375  0.750  0.245
Ag  0.375  0.750  0.339
Ag  0.375  0.750  0.431
Ag  0.375  0.750  0.523
Ag  0.375  0.750  0.615
Ag  0.376  0.750  0.708
Ag  0.624  0.250  0.292
Ag  0.625  0.250  0.385
Ag  0.625  0.250  0.477
Ag  0.625  0.250  0.569
Ag  0.625  0.250  0.661
Ag  0.625  0.250  0.755
Ag  0.625  0.250  0.845
Ag  0.629  0.250  0.197
Ag  0.874  0.750  0.708
Ag  0.875  0.750  0.246
Ag  0.875  0.750  0.338
Ag  0.875  0.750  0.431
Ag  0.875  0.750  0.523
Ag  0.875  0.750  0.615
Ag  0.879  0.750  0.803
As  0.125  0.250  0.842
As  0.875  0.750  0.158

- Theoretical density: 7416 kg/m³
- E: -91.6 eV/cell
- Space-group type: P2_1/m, No. 11